Entry 1:
# PrEuGaNi (GGA-PBE, optimized geometry)
# formation energy from the elements: -0.2551 eV per atom
# size of the total moment: 6.86 μB per formula unit
# total energy: -6.2207 eV per atom
data_PrEuGaNi
_symmetry_space_group_name_H-M 'F -4 3 m'
_symmetry_Int_Tables_number 216
_symmetry_space_group_name_Hall 'F -4 2 3'
_cell_length_a 7.261
_cell_length_b 7.261
_cell_length_c 7.261
_cell_angle_alpha 90.00
_cell_angle_beta 90.00
_cell_angle_gamma 90.00
loop_
_atom_site_label
_atom_site_type_symbol
_atom_site_fract_x
_atom_site_fract_y
_atom_site_fract_z
Pr1 Pr 0.000 0.000 0.000
Eu1 Eu 0.000 0.000 0.500
Ga1 Ga 0.250 0.250 0.250
Ni1 Ni 0.250 0.250 0.750

***

Entry 2:
# MgZr2AlGa (GGA-PBE, optimized geometry)
# formation energy from the elements: 0.3666 eV per atom
# size of the total moment: 0.00 μB per formula unit
# total energy: -4.7254 eV per atom
data_MgZr2AlGa
_symmetry_space_group_name_H-M 'P 4/m m m'
_symmetry_Int_Tables_number 123
_symmetry_space_group_name_Hall '-P 4 2'
_cell_length_a 5.102
_cell_length_b 5.102
_cell_length_c 4.594
_cell_angle_alpha 90.00
_cell_angle_beta 90.00
_cell_angle_gamma 90.00
loop_
_atom_site_label
_atom_site_type_symbol
_atom_site_fract_x
_atom_site_fract_y
_atom_site_fract_z
Mg1 Mg 0.000 0.000 0.000
Zr1 Zr 0.000 0.500 0.500
Al1 Al 0.500 0.500 0.000
Ga1 Ga 0.500 0.500 0.500

***

Entry 3:
# InSbRh (GGA-PBE, optimized geometry)
# ΔE_f (raw): -214 meV per atom
# size of the total moment: 0.00 μB per formula unit
# total energy: -4.9517 eV per atom
data_InSbRh
_symmetry_space_group_name_H-M 'P 3 m 1'
_symmetry_Int_Tables_number 156
_cell_length_a 3.4310
_cell_length_b 3.4310
_cell_length_c 6.3367
_cell_angle_alpha 90.00
_cell_angle_beta 90.00
_cell_angle_gamma 120.00
loop_
_symmetry_equiv_pos_as_xyz
'x,y,z'
'-y,x-y,z'
'-x+y,-x,z'
'-y,-x,z'
'-x+y,y,z'
'x,x-y,z'
loop_
_atom_site_label
_atom_site_type_symbol
_atom_site_fract_x
_atom_site_fract_y
_atom_site_fract_z
In1 In 0.0000 0.0000 0.0000
Sb1 Sb 0.3333 0.6667 0.5873
Rh1 Rh 0.6667 0.3333 0.3112

***

Entry 4:
# TaHg2I2 (GGA-PBE, optimized geometry)
# ΔE_f (raw): 808 meV per atom
# size of the total moment: 1.56 μB per formula unit
# total energy: -2.3032 eV per atom
data_TaHg2I2
_symmetry_space_group_name_H-M 'P 4/m b m'
_symmetry_Int_Tables_number 127
_symmetry_space_group_name_Hall '-P 4 2ab'
_cell_length_a 7.525
_cell_length_b 7.525
_cell_length_c 5.192
_cell_angle_alpha 90.00
_cell_angle_beta 90.00
_cell_angle_gamma 90.00
loop_
_atom_site_label
_atom_site_type_symbol
_atom_site_fract_x
_atom_site_fract_y
_atom_site_fract_z
Ta1 Ta 0.000 0.000 0.000
Hg1 Hg 0.139 0.361 0.000
I1 I 0.182 0.682 0.500

***

Entry 5:
# Cs2K4H (GGA-PBE, optimized geometry)
# size of the total moment: 0.00 μB per formula unit
# total energy: -1.3248 eV per atom
data_Cs2K4H
_symmetry_space_group_name_H-M 'I 4/m m m'
_symmetry_Int_Tables_number 139
_symmetry_space_group_name_Hall '-I 4 2'
_cell_length_a 5.984
_cell_length_b 5.984
_cell_length_c 26.833
_cell_angle_alpha 90.00
_cell_angle_beta 90.00
_cell_angle_gamma 90.00
loop_
_atom_site_label
_atom_site_type_symbol
_atom_site_fract_x
_atom_site_fract_y
_atom_site_fract_z
Cs1 Cs 0.000 0.000 0.190
K1 K 0.000 0.000 0.393
K2 K 0.000 0.500 0.000
H1 H 0.000 0.000 0.500

***

Entry 6:
# BaYBr2 (GGA-PBE, optimized geometry)
# ΔE_f (raw): -1094 meV per atom
# size of the total moment: 0.00 μB per formula unit
# total energy: -4.0273 eV per atom
data_BaYBr2
_symmetry_space_group_name_H-M 'C m m m'
_symmetry_Int_Tables_number 65
_symmetry_space_group_name_Hall '-C 2 2'
_cell_length_a 3.825
_cell_length_b 7.099
_cell_length_c 10.103
_cell_angle_alpha 90.00
_cell_angle_beta 90.00
_cell_angle_gamma 90.00
loop_
_atom_site_label
_atom_site_type_symbol
_atom_site_fract_x
_atom_site_fract_y
_atom_site_fract_z
Ba1 Ba 0.000 0.000 0.000
Y1 Y 0.000 0.000 0.500
Br1 Br 0.000 0.500 0.273

***

Entry 7:
# Ta3TiO (GGA-PBE, optimized geometry)
# ΔE_f (raw): 1924 meV per atom
# size of the total moment: 0.00 μB per formula unit
# total energy: -7.7586 eV per atom
data_Ta3TiO
_symmetry_space_group_name_H-M 'P m -3 m'
_symmetry_Int_Tables_number 221
_symmetry_space_group_name_Hall '-P 4 2 3'
_cell_length_a 4.681
_cell_length_b 4.681
_cell_length_c 4.681
_cell_angle_alpha 90.00
_cell_angle_beta 90.00
_cell_angle_gamma 90.00
loop_
_atom_site_label
_atom_site_type_symbol
_atom_site_fract_x
_atom_site_fract_y
_atom_site_fract_z
Ta1 Ta 0.000 0.000 0.500
Ti1 Ti 0.000 0.000 0.000
O1 O 0.500 0.500 0.500

***

Entry 8:
# Nd2Dy3HoAs6 (GGA-PBE, optimized geometry)
# formation energy from the elements: -1.5186 eV per atom
# size of the total moment: 0.00 μB per formula unit
# total energy: -6.1700 eV per atom
data_Nd2Dy3HoAs6
_symmetry_space_group_name_H-M 'C 1 2/m 1'
_symmetry_Int_Tables_number 12
_cell_length_a 18.164
_cell_length_b 4.170
_cell_length_c 8.335
_cell_angle_alpha 90.00
_cell_angle_beta 103.26
_cell_angle_gamma 90.00
loop_
_symmetry_equiv_pos_as_xyz
'x,y,z'
'-x,-y,-z'
'-x,y,-z'
'x,-y,z'
'x+1/2,y+1/2,z'
'-x+1/2,-y+1/2,-z'
'-x+1/2,y+1/2,-z'
'x+1/2,-y+1/2,z'
loop_
_atom_site_label
_atom_site_type_symbol
_atom_site_fract_x
_atom_site_fract_y
_atom_site_fract_z
Nd1 Nd 0.166 0.000 0.332
Dy1 Dy 0.000 0.500 0.500
Dy2 Dy 0.167 0.000 0.834
Ho1 Ho 0.000 0.500 0.000
As1 As 0.003 0.000 0.752
As2 As 0.165 0.500 0.589
As3 As 0.166 0.500 0.076

***

Repeat the fifth record exactly.
# Cs2K4H (GGA-PBE, optimized geometry)
# size of the total moment: 0.00 μB per formula unit
# total energy: -1.3248 eV per atom
data_Cs2K4H
_symmetry_space_group_name_H-M 'I 4/m m m'
_symmetry_Int_Tables_number 139
_symmetry_space_group_name_Hall '-I 4 2'
_cell_length_a 5.984
_cell_length_b 5.984
_cell_length_c 26.833
_cell_angle_alpha 90.00
_cell_angle_beta 90.00
_cell_angle_gamma 90.00
loop_
_atom_site_label
_atom_site_type_symbol
_atom_site_fract_x
_atom_site_fract_y
_atom_site_fract_z
Cs1 Cs 0.000 0.000 0.190
K1 K 0.000 0.000 0.393
K2 K 0.000 0.500 0.000
H1 H 0.000 0.000 0.500

***

> Among the records above, which one has the highest total energy?

Cs2K4H